# Hg3Mo (meta-GGA SCAN, single point on PBEsol structure)
data_Hg3Mo
_chemical_formula_sum 'Hg3 Mo1'
_cell_length_a 4.219
_cell_length_b 4.219
_cell_length_c 4.219
_cell_angle_alpha 90.00
_cell_angle_beta 90.00
_cell_angle_gamma 90.00
_symmetry_space_group_name_H-M 'P m -3 m'
_symmetry_Int_Tables_number 221
_symmetry_space_group_name_Hall '-P 4 2 3'
loop_
_atom_site_label
_atom_site_fract_x
_atom_site_fract_y
_atom_site_fract_z
Hg1 0.000 0.000 0.500
Mo1 0.500 0.500 0.500
# Crystal system: cubic
# Energy of formation from the pure elements in eV/atom: 0.549
# Theoretical density in g/cm3: 15.43


# Hg2Mo (meta-GGA SCAN, single point on PBEsol structure)
data_Hg2Mo
_chemical_formula_sum 'Hg8 Mo4'
_cell_length_a 6.979
_cell_length_b 6.979
_cell_length_c 4.965
_cell_angle_alpha 90.00
_cell_angle_beta 90.00
_cell_angle_gamma 90.00
_symmetry_space_group_name_H-M 'I 4/m c m'
_symmetry_Int_Tables_number 140
_symmetry_space_group_name_Hall '-I 4 2c'
loop_
_atom_site_label
_atom_site_fract_x
_atom_site_fract_y
_atom_site_fract_z
Hg1 0.166 0.334 0.000
Mo1 0.000 0.000 0.250
# Crystal system: tetragonal
# Energy of formation from the pure elements in eV/atom: 0.523
# Polymorph energy (0 for the lowest one) in eV per atom: 0.000
# Theoretical density in g/cm3: 13.66